A plane-wave DFT calculation with PBE-GGA was carried out for an optimized crystal structure of InHg2Ru.

The space group is Pmmm (No. 47) and the conventional cell measures 3.640, 3.830 and 5.809 Å, with angles of 90.00, 90.00 and 90.00 degrees. The distinct sites, in fractional coordinates, are In at (0.000, 0.000, 0.000), Hg at (0.500, 0.500, 0.262) and Ru at (0.000, 0.000, 0.500).

The formation enthalpy at 0 K comes out at 429 meV per atom.

---

A plane-wave DFT calculation with PBE-GGA was carried out for an optimized crystal structure of In2HgRu.

The space group is I4/mmm (No. 139) and the conventional cell measures 4.249, 4.249 and 8.639 Å, with angles of 90.00, 90.00 and 90.00 degrees. The distinct sites, in fractional coordinates, are In at (0.000, 0.500, 0.250), Hg at (0.000, 0.000, 0.000) and Ru at (0.000, 0.000, 0.500).

The formation enthalpy at 0 K comes out at 232 meV per atom.

---

A plane-wave DFT calculation with PBE-GGA was carried out for an optimized crystal structure of In2HgRu.

The space group is Cmmm (No. 65) and the conventional cell measures 6.012, 7.886 and 3.338 Å, with angles of 90.00, 90.00 and 90.00 degrees. The distinct sites, in fractional coordinates, are In at (0.250, 0.250, 0.000), Hg at (0.000, 0.000, 0.500) and Ru at (0.000, 0.500, 0.500).

The formation enthalpy at 0 K comes out at 261 meV per atom.

---

A plane-wave DFT calculation with PBE-GGA was carried out for an optimized crystal structure of InHg2Ru.

The space group is P4/mmm (No. 123) and the conventional cell measures 3.062, 3.062 and 9.130 Å, with angles of 90.00, 90.00 and 90.00 degrees. The distinct sites, in fractional coordinates, are In at (0.000, 0.000, 0.000), Hg at (0.500, 0.500, 0.290) and Ru at (0.000, 0.000, 0.500).

The formation enthalpy at 0 K comes out at 437 meV per atom.

---

A plane-wave DFT calculation with PBE-GGA was carried out for an optimized crystal structure of InHg2Ru.

The space group is C2/m (No. 12) and the conventional cell measures 5.755, 10.297 and 3.348 Å, with angles of 90.00, 124.25 and 90.00 degrees. The distinct sites, in fractional coordinates, are In at (0.000, 0.000, 0.000), Hg at (0.250, 0.250, 0.000) and Ru at (0.000, 0.500, 0.000).

The formation enthalpy at 0 K comes out at 363 meV per atom.

---

A plane-wave DFT calculation with PBE-GGA was carried out for an optimized crystal structure of In2HgRu.

The space group is Pmm2 (No. 25) and the conventional cell measures 3.565, 3.912 and 5.812 Å, with angles of 90.00, 90.00 and 90.00 degrees. The distinct sites, in fractional coordinates, are In at (0.000, 0.000, 0.000), In at (0.500, 0.500, 0.297), Hg at (0.500, 0.500, 0.770) and Ru at (0.000, 0.000, 0.489).

The formation enthalpy at 0 K comes out at 236 meV per atom.

---

A plane-wave DFT calculation with PBE-GGA was carried out for an optimized crystal structure of In2HgRu.

The space group is F-43m (No. 216) and the conventional cell measures 6.871, 6.871 and 6.871 Å, with angles of 90.00, 90.00 and 90.00 degrees. The distinct sites, in fractional coordinates, are In at (0.000, 0.000, 0.000), In at (0.250, 0.250, 0.250), Hg at (0.250, 0.250, 0.750) and Ru at (0.000, 0.000, 0.500).

The formation enthalpy at 0 K comes out at 479 meV per atom.

---

A plane-wave DFT calculation with PBE-GGA was carried out for an optimized crystal structure of In2HgRu.

The space group is Pmm2 (No. 25) and the conventional cell measures 3.244, 4.852 and 5.037 Å, with angles of 90.00, 90.00 and 90.00 degrees. The distinct sites, in fractional coordinates, are In at (0.000, 0.000, 0.000), In at (0.000, 0.500, 0.393), Hg at (0.500, 0.000, 0.521) and Ru at (0.500, 0.500, 0.888).

The formation enthalpy at 0 K comes out at 261 meV per atom.

---

A plane-wave DFT calculation with PBE-GGA was carried out for an optimized crystal structure of InHg2Ru.

The space group is I-4m2 (No. 119) and the conventional cell measures 4.144, 4.144 and 9.097 Å, with angles of 90.00, 90.00 and 90.00 degrees. The distinct sites, in fractional coordinates, are In at (0.000, 0.000, 0.000), Hg at (0.000, 0.000, 0.500), Hg at (0.000, 0.500, 0.250) and Ru at (0.000, 0.500, 0.750).

The formation enthalpy at 0 K comes out at 342 meV per atom.

---

A plane-wave DFT calculation with PBE-GGA was carried out for an optimized crystal structure of In2HgRu.

The space group is I-4m2 (No. 119) and the conventional cell measures 4.132, 4.132 and 9.139 Å, with angles of 90.00, 90.00 and 90.00 degrees. The distinct sites, in fractional coordinates, are In at (0.000, 0.000, 0.000), In at (0.000, 0.500, 0.250), Hg at (0.000, 0.000, 0.500) and Ru at (0.000, 0.500, 0.750).

The formation enthalpy at 0 K comes out at 223 meV per atom.

---

A plane-wave DFT calculation with PBE-GGA was carried out for an optimized crystal structure of In3HgRu.

The space group is Pm-3m (No. 221) and the conventional cell measures 5.201, 5.201 and 5.201 Å, with angles of 90.00, 90.00 and 90.00 degrees. The distinct sites, in fractional coordinates, are In at (0.000, 0.000, 0.500), Hg at (0.500, 0.500, 0.500) and Ru at (0.000, 0.000, 0.000).

Its offset from the most stable computed form is 0.000 eV per atom. The formation enthalpy at 0 K comes out at 21 meV per atom.

---

A plane-wave DFT calculation with PBE-GGA was carried out for an optimized crystal structure of InHg2Ru.

The space group is P4mm (No. 99) and the conventional cell measures 3.208, 3.208 and 8.227 Å, with angles of 90.00, 90.00 and 90.00 degrees. The distinct sites, in fractional coordinates, are In at (0.000, 0.000, 0.000), Hg at (0.000, 0.000, 0.400), Hg at (0.500, 0.500, 0.695) and Ru at (0.500, 0.500, 0.184).

The formation enthalpy at 0 K comes out at 283 meV per atom.

---

A plane-wave DFT calculation with PBE-GGA was carried out for an optimized crystal structure of In2HgSbRu.

The space group is P4/mmm (No. 123) and the conventional cell measures 5.246, 5.246 and 5.046 Å, with angles of 90.00, 90.00 and 90.00 degrees. The distinct sites, in fractional coordinates, are In at (0.000, 0.500, 0.000), Hg at (0.000, 0.000, 0.500), Sb at (0.500, 0.500, 0.500) and Ru at (0.500, 0.500, 0.000).

Its uncorrected formation energy is 0.3 eV/f.u.

---

A plane-wave DFT calculation with PBE-GGA was carried out for an optimized crystal structure of InHgSbRu2.

The space group is P4/mmm (No. 123) and the conventional cell measures 5.017, 5.017 and 5.400 Å, with angles of 90.00, 90.00 and 90.00 degrees. The distinct sites, in fractional coordinates, are In at (0.000, 0.000, 0.000), Hg at (0.500, 0.500, 0.500), Sb at (0.000, 0.000, 0.500) and Ru at (0.000, 0.500, 0.000).

Its uncorrected formation energy is 8.0 eV/f.u.

---

A plane-wave DFT calculation with PBE-GGA was carried out for an optimized crystal structure of Sm4InHg2Ru.

The space group is R-3m (No. 166, hexagonal axes) and the conventional cell measures 5.2902, 5.2902 and 25.5233 Å, with angles of 90.00, 90.00 and 120.00 degrees. The distinct sites, in fractional coordinates, are Sm at (0.0000, 0.0000, 0.1123), Sm at (0.0000, 0.0000, 0.3672), In at (0.0000, 0.0000, 0.5000), Hg at (0.0000, 0.0000, 0.2392) and Ru at (0.0000, 0.0000, 0.0000).

The formation enthalpy at 0 K comes out at -425 meV per atom.

---

A plane-wave DFT calculation with PBE-GGA was carried out for an optimized crystal structure of Sm3In3Hg2Ru.

The space group is P-62m (No. 189) and the conventional cell measures 7.8260, 7.8260 and 4.2087 Å, with angles of 90.00, 90.00 and 120.00 degrees. The distinct sites, in fractional coordinates, are Sm at (0.0000, 0.3892, 0.0000), In at (0.0000, 0.7571, 0.5000), Hg at (0.3333, 0.6667, 0.5000) and Ru at (0.0000, 0.0000, 0.0000).

The formation enthalpy at 0 K comes out at -438 meV per atom.

---

A plane-wave DFT calculation with PBE-GGA was carried out for an optimized crystal structure of InSn2HgRu.

The space group is P4/mmm (No. 123) and the conventional cell measures 5.124, 5.124 and 5.234 Å, with angles of 90.00, 90.00 and 90.00 degrees. The distinct sites, in fractional coordinates, are In at (0.000, 0.000, 0.000), Sn at (0.000, 0.500, 0.500), Hg at (0.500, 0.500, 0.000) and Ru at (0.000, 0.000, 0.500).

The formation enthalpy at 0 K comes out at 18 meV per atom.

---

A plane-wave DFT calculation with PBE-GGA was carried out for an optimized crystal structure of Tb4InHg2Ru.

The space group is R-3m (No. 166, hexagonal axes) and the conventional cell measures 5.2033, 5.2033 and 25.1808 Å, with angles of 90.00, 90.00 and 120.00 degrees. The distinct sites, in fractional coordinates, are Tb at (0.0000, 0.0000, 0.1127), Tb at (0.0000, 0.0000, 0.3672), In at (0.0000, 0.0000, 0.5000), Hg at (0.0000, 0.0000, 0.2401) and Ru at (0.0000, 0.0000, 0.0000).

The formation enthalpy at 0 K comes out at -457 meV per atom.

---

A plane-wave DFT calculation with PBE-GGA was carried out for an optimized crystal structure of Th2InHgRu.

The space group is P2_1/m (No. 11) and the conventional cell measures 8.276, 4.011 and 8.378 Å, with angles of 90.00, 108.90 and 90.00 degrees. The distinct sites, in fractional coordinates, are Th at (0.005, 0.250, 0.219), Th at (0.340, 0.750, 0.593), In at (0.317, 0.750, 0.189), Hg at (0.348, 0.250, 0.939) and Ru at (0.114, 0.250, 0.613).

The formation enthalpy at 0 K comes out at -350 meV per atom.

---

A plane-wave DFT calculation with PBE-GGA was carried out for an optimized crystal structure of Tl2InHgRu.

The space group is P4/mmm (No. 123) and the conventional cell measures 5.329, 5.329 and 5.217 Å, with angles of 90.00, 90.00 and 90.00 degrees. The distinct sites, in fractional coordinates, are Tl at (0.000, 0.500, 0.000), In at (0.000, 0.000, 0.500), Hg at (0.500, 0.500, 0.500) and Ru at (0.000, 0.000, 0.000).

The formation enthalpy at 0 K comes out at 130 meV per atom.